Entry from Alexandria via LeMat-Bulk: CoMoIr after structural relaxation (PBE-GGA).

Structure (POSCAR):
```
CoMoIr
1.0
-5.820 1.474 -3.217
-6.748 -0.925 -0.079
-4.028 2.734 0.900
Co Mo Ir
2 2 2
direct
0.682 0.639 0.504
0.158 0.116 0.806
0.063 0.021 0.495
0.777 0.735 0.816
0.367 0.325 0.015
0.473 0.431 0.295
```

Properties
energy relative to the elements = 0.0470 eV/atom
ρ = 13.67 Mg/m³
space group = C2/m
E above lowest polymorph = 159 meV/atom
total moment = 0.8 Bohr magnetons per cell

Entry from Alexandria via LeMat-Bulk: HIrSeN2 after structural relaxation (PBE-GGA).

Structure (POSCAR):
```
HIrSeN2
1.0
3.710 0.000 0.000
0.000 3.710 0.000
0.000 0.000 5.503
H Ir Se N
1 1 1 2
direct
0.500 0.500 0.500
0.000 0.000 0.000
0.000 0.000 0.500
0.000 0.500 0.000
0.500 0.000 0.000
```

Properties
ρ = 6.58 Mg/m³
space group = P4/mmm
E above lowest polymorph = 0 meV/atom
total moment = 0.4 Bohr magnetons per cell

Entry from Alexandria via LeMat-Bulk: Co3B2Mo2 after structural relaxation (PBE-GGA).

Structure (POSCAR):
```
Co3B2Mo2
1.0
3.148 0.000 0.000
0.000 3.017 0.000
0.000 -1.509 7.939
Co B Mo
3 2 2
direct
0.500 0.575 0.150
0.500 0.425 0.850
0.000 0.000 0.000
0.500 0.719 0.438
0.500 0.281 0.562
0.000 0.828 0.655
0.000 0.172 0.345
```

Properties
energy relative to the elements = -0.1992 eV/atom
ρ = 8.59 Mg/m³
space group = Cmmm
total moment = 4.5 Bohr magnetons per cell

Entry from Alexandria via LeMat-Bulk: Sm2DyErBi5 after structural relaxation (PBE-GGA).

Structure (POSCAR):
```
Sm2DyErBi5
1.0
-2.850 1.775 -4.267
1.675 -4.276 -2.897
-9.398 -6.190 3.701
Sm Dy Er Bi
2 1 1 5
direct
0.500 0.500 0.274
0.500 0.500 0.726
0.000 0.000 0.500
0.000 0.000 0.000
0.000 0.500 0.500
0.500 0.000 0.500
0.000 0.000 0.755
0.000 0.000 0.245
0.500 0.500 0.000
```

Properties
energy relative to the elements = -0.0538 eV/atom
ρ = 7.97 Mg/m³
space group = P4/mmm
total moment = 0.0 Bohr magnetons per cell

Entry from Alexandria via LeMat-Bulk: LiAsPd after structural relaxation (PBE-GGA).

Structure (POSCAR):
```
LiAsPd
1.0
4.166 0.000 0.000
2.083 3.608 0.000
2.083 1.203 3.401
As Pd Li
1 1 1
direct
0.000 0.000 0.000
0.250 0.250 0.250
0.500 0.500 0.500
```

Properties
energy relative to the elements = -0.4610 eV/atom
ρ = 6.12 Mg/m³
space group = F-43m
total moment = 0.0 Bohr magnetons per cell

Entry from Alexandria via LeMat-Bulk: ReMoW after structural relaxation (PBE-GGA).

Structure (POSCAR):
```
ReMoW
1.0
-0.059 5.225 -0.234
-0.580 3.496 3.848
2.530 -4.322 -1.509
Re Mo W
1 1 1
direct
0.669 0.669 0.000
0.998 0.998 0.000
0.333 0.333 0.000
```

Properties
energy relative to the elements = 0.0552 eV/atom
ρ = 16.42 Mg/m³
space group = I4mm
E above lowest polymorph = 2 meV/atom
total moment = 0.0 Bohr magnetons per cell

Entry from Alexandria via LeMat-Bulk: Rb2TaSnSb after structural relaxation (PBE-GGA).

Structure (POSCAR):
```
Rb2TaSnSb
1.0
6.883 0.000 0.000
0.000 5.305 0.000
0.000 0.000 6.883
Sb Sn Rb Ta
1 1 2 1
direct
0.000 0.000 0.000
0.500 0.500 0.500
0.000 0.000 0.500
0.500 0.000 0.000
0.000 0.500 0.000
```

Properties
formation energy (no corrections) = 0.892 eV per atom
ρ = 3.91 Mg/m³
space group = P4/mmm
total moment = 0.6 Bohr magnetons per cell

Entry from Alexandria via LeMat-Bulk: Zr2ScNbN after structural relaxation (PBE-GGA).

Structure (POSCAR):
```
Zr2ScNbN
1.0
-2.224 0.879 -3.952
-4.005 0.183 2.294
0.550 4.198 0.624
Sc Nb Zr N
1 1 2 1
direct
0.500 0.500 0.500
0.000 0.000 0.500
0.000 0.500 0.000
0.500 0.000 0.000
0.000 0.000 0.000
```

Properties
formation energy (no corrections) = -0.604 eV per atom
ρ = 6.08 Mg/m³
space group = P4/mmm
E above lowest polymorph = 39 meV/atom
total moment = 0.0 Bohr magnetons per cell

Number 1: total DFT energy (no corrections) -8.8857 eV/atom. Number 2: total DFT energy (no corrections) -5.2979 eV/atom. Number 3: total DFT energy (no corrections) -8.2470 eV/atom. Number 4: total DFT energy (no corrections) -4.2769 eV/atom. Number 5: total DFT energy (no corrections) -4.3797 eV/atom. Number 6: total DFT energy (no corrections) -12.0222 eV/atom. Number 7: total DFT energy (no corrections) -3.4907 eV/atom. Number 8: total DFT energy (no corrections) -8.9691 eV/atom.